Computed, not measured: BaTlCoO3 after structural relaxation at the PBE+U level of DFT.

```
BaTlCoO3
1.0
6.871 -0.517 -0.420
2.763 6.312 -0.420
2.285 1.374 5.365
Co O Tl Ba
2 6 2 2
Direct
0.674 0.326 0.500
0.326 0.674 0.500
0.091 0.682 0.745
0.445 0.445 0.333
0.909 0.318 0.255
0.318 0.909 0.255
0.682 0.091 0.745
0.555 0.555 0.667
0.070 0.070 0.709
0.930 0.930 0.291
0.686 0.686 0.947
0.314 0.314 0.053
```

## Properties
electronic total energy = -65.78 eV/cell